A plane-wave DFT calculation with PBE was carried out for a relaxed Ca2TlW crystal.

Cell lengths 3.135, 4.801, 6.484 Å; angles 90.00, 90.09, 90.00 degrees
Space group P2/m (No. 10)
Unique sites:
Ca (0.000, 0.000, 0.236)
Tl (0.500, 0.500, 0.500)
W (0.500, 0.500, 0.000)

**Total DFT energy (no corrections)**: -16.8 eV per cell
**Formation energy**: 629.6 meV/atom

A plane-wave DFT calculation with PBE was carried out for a relaxed SiAgP4 crystal.

Cell lengths 7.288, 7.288, 7.288 Å; angles 90.00, 90.00, 90.00 degrees
Space group F-43m (No. 216)
Unique sites:
Si (0.000, 0.000, 0.000)
Ag (0.250, 0.250, 0.250)
P (0.124, 0.124, 0.624)

**Total DFT energy (no corrections)**: -102.2 eV per cell
**Formation energy without anion corrections**: 4.4 eV per formula unit

A plane-wave DFT calculation with PBE was carried out for a relaxed Ag4BrCl2F crystal.

Cell lengths 8.469, 7.440, 6.724 Å; angles 90.00, 90.00, 90.00 degrees
Space group Pmn2_1 (No. 31)
Unique sites:
Ag (0.000, 0.134, 0.000)
Ag (0.000, 0.796, 0.452)
Ag (0.236, 0.676, 0.989)
Br (0.000, 0.141, 0.592)
Cl (0.242, 0.339, 0.095)
F (0.000, 0.826, 0.094)

**Total DFT energy (no corrections)**: -45.8 eV per cell
**Formation energy without anion corrections**: -4.3 eV per formula unit

A plane-wave DFT calculation with PBE was carried out for a relaxed Rb2SrCuN crystal.

Cell lengths 6.059, 6.059, 4.841 Å; angles 90.00, 90.00, 90.00 degrees
Space group P4/mmm (No. 123)
Unique sites:
Rb (0.000, 0.500, 0.000)
Sr (0.000, 0.000, 0.500)
Cu (0.500, 0.500, 0.500)
N (0.000, 0.000, 0.000)

**Total DFT energy (no corrections)**: -14.3 eV per cell
**Formation energy without anion corrections**: 1.8 eV per formula unit